# 1
Density functional theory data (PBE) for DyBi2Au after structural relaxation.

```
DyBi2Au
1.0
1.812 1.046 10.544
-1.812 1.046 10.544
0.000 -2.093 10.544
Dy Bi Au
1 2 1
direct
0.000 0.000 0.000 Dy
0.100 0.100 0.100 Bi
0.900 0.900 0.900 Bi
0.500 0.500 0.500 Au
```

E_tot: -3.810 eV/atom
Total magnetic moment: 0.00 Bohr magnetons per cell
Calculated formation energy: 0.40 eV per formula unit
Symmetry: No. 166

# 2
Density functional theory data (PBE) for DyBiAu after structural relaxation.

```
DyBiAu
1.0
4.628 0.000 0.000
-2.314 4.008 0.000
0.000 0.000 4.337
Dy Bi Au
1 1 1
direct
0.000 0.000 0.000 Dy
0.333 0.667 0.446 Bi
0.667 0.333 0.709 Au
```

E_tot: -4.529 eV/atom
Total magnetic moment: 0.00 Bohr magnetons per cell
Calculated formation energy: -1.83 eV per formula unit
Symmetry: No. 156

# 3
Density functional theory data (PBE) for DyBiAu after structural relaxation.

```
DyBiAu
1.0
1.994 -7.938 0.000
1.994 7.938 0.000
0.000 0.000 4.964
Dy Bi Au
2 2 2
direct
0.090 0.910 0.750 Dy
0.910 0.090 0.250 Dy
0.241 0.759 0.250 Bi
0.759 0.241 0.750 Bi
0.450 0.550 0.750 Au
0.550 0.450 0.250 Au
```

E_tot: -4.504 eV/atom
Total magnetic moment: 0.00 Bohr magnetons per cell
Calculated formation energy: -1.75 eV per formula unit
Symmetry: No. 63

# 4
Density functional theory data (PBE) for Dy7Bi2Au2 after structural relaxation.

```
Dy7Bi2Au2
1.0
4.530 -5.477 0.000
4.530 5.477 0.000
0.000 0.000 7.003
Dy Bi Au
7 2 2
direct
0.000 0.000 0.000 Dy
0.000 0.500 0.250 Dy
0.000 0.500 0.750 Dy
0.500 0.000 0.250 Dy
0.500 0.000 0.750 Dy
0.500 0.500 0.239 Dy
0.500 0.500 0.761 Dy
0.196 0.196 0.500 Bi
0.804 0.804 0.500 Bi
0.279 0.721 0.000 Au
0.721 0.279 0.000 Au
```

E_tot: -4.628 eV/atom
Total magnetic moment: 0.00 Bohr magnetons per cell
Calculated formation energy: -4.38 eV per formula unit
Symmetry: No. 65

# 5
Density functional theory data (PBE) for Dy8Bi2Au after structural relaxation.

```
Dy8Bi2Au
1.0
9.083 -2.569 0.000
9.083 2.569 0.000
-0.360 0.000 6.921
Dy Bi Au
8 2 1
direct
0.028 0.028 0.253 Dy
0.212 0.212 0.127 Dy
0.345 0.345 0.591 Dy
0.410 0.410 0.069 Dy
0.590 0.590 0.931 Dy
0.655 0.655 0.409 Dy
0.788 0.788 0.873 Dy
0.972 0.972 0.747 Dy
0.167 0.167 0.673 Bi
0.833 0.833 0.327 Bi
0.500 0.500 0.500 Au
```

E_tot: -4.753 eV/atom
Total magnetic moment: 0.00 Bohr magnetons per cell
Calculated formation energy: -4.43 eV per formula unit
Symmetry: No. 12

# 6
Density functional theory data (PBE) for Dy5Bi2Au after structural relaxation.

```
Dy5Bi2Au
1.0
2.874 -7.498 0.000
2.874 7.498 0.000
0.000 0.000 13.704
Dy Bi Au
10 4 2
direct
0.083 0.917 0.614 Dy
0.083 0.917 0.886 Dy
0.287 0.713 0.250 Dy
0.310 0.690 0.538 Dy
0.310 0.690 0.962 Dy
0.690 0.310 0.038 Dy
0.690 0.310 0.462 Dy
0.713 0.287 0.750 Dy
0.917 0.083 0.114 Dy
0.917 0.083 0.386 Dy
0.126 0.874 0.103 Bi
0.126 0.874 0.397 Bi
0.874 0.126 0.603 Bi
0.874 0.126 0.897 Bi
0.229 0.771 0.750 Au
0.771 0.229 0.250 Au
```

E_tot: -4.486 eV/atom
Total magnetic moment: 1.87 Bohr magnetons per cell
Calculated formation energy: -1.84 eV per formula unit
Symmetry: No. 63

# 7
Density functional theory data (PBE) for Dy3BiAu after structural relaxation.

```
Dy3BiAu
1.0
6.401 0.000 0.000
0.000 5.481 0.000
0.000 0.000 8.534
Dy Bi Au
6 2 2
direct
0.000 0.000 0.000 Dy
0.250 0.000 0.366 Dy
0.250 0.500 0.746 Dy
0.500 0.000 0.000 Dy
0.750 0.000 0.634 Dy
0.750 0.500 0.254 Dy
0.250 0.500 0.148 Bi
0.750 0.500 0.852 Bi
0.250 0.000 0.698 Au
0.750 0.000 0.302 Au
```

E_tot: -4.776 eV/atom
Total magnetic moment: 0.00 Bohr magnetons per cell
Calculated formation energy: -2.92 eV per formula unit
Symmetry: No. 51

# 8
Density functional theory data (PBE) for Dy5BiAu2 after structural relaxation.

```
Dy5BiAu2
1.0
-4.071 4.071 6.576
4.071 -4.071 6.576
4.071 4.071 -6.576
Dy Bi Au
10 2 4
direct
0.000 0.000 0.000 Dy
0.013 0.513 0.808 Dy
0.205 0.013 0.500 Dy
0.295 0.795 0.808 Dy
0.487 0.295 0.500 Dy
0.500 0.500 0.000 Dy
0.513 0.705 0.500 Dy
0.705 0.205 0.192 Dy
0.795 0.987 0.500 Dy
0.987 0.487 0.192 Dy
0.250 0.250 0.000 Bi
0.750 0.750 0.000 Bi
0.139 0.361 0.500 Au
0.361 0.861 0.223 Au
0.639 0.139 0.777 Au
0.861 0.639 0.500 Au
```

E_tot: -4.872 eV/atom
Total magnetic moment: 0.00 Bohr magnetons per cell
Calculated formation energy: -5.53 eV per formula unit
Symmetry: No. 140

# 9
Density functional theory data (PBE) for DyBiAu after structural relaxation.

```
DyBiAu
1.0
-1.834 1.834 5.815
1.834 -1.834 5.815
1.834 1.834 -5.815
Dy Bi Au
1 1 1
direct
0.000 0.000 0.000 Dy
0.298 0.298 0.000 Bi
0.626 0.626 0.000 Au
```

E_tot: -4.503 eV/atom
Total magnetic moment: 0.00 Bohr magnetons per cell
Calculated formation energy: -1.75 eV per formula unit
Symmetry: No. 107

# 10
Density functional theory data (PBE) for DyBi2Au after structural relaxation.

```
DyBi2Au
1.0
4.912 0.000 0.000
0.000 4.912 0.000
0.000 0.000 4.325
Dy Bi Au
1 2 1
direct
0.000 0.000 0.000 Dy
0.000 0.500 0.500 Bi
0.500 0.000 0.500 Bi
0.500 0.500 0.000 Au
```

E_tot: -4.358 eV/atom
Total magnetic moment: 0.00 Bohr magnetons per cell
Calculated formation energy: -1.79 eV per formula unit
Symmetry: No. 123

# 11
Density functional theory data (PBE) for DyBiAu after structural relaxation.

```
DyBiAu
1.0
-2.008 2.611 8.090
2.008 -2.611 8.090
2.008 2.611 -8.090
Dy Bi Au
2 2 2
direct
0.164 0.164 0.000 Dy
0.836 0.836 0.000 Dy
0.362 0.362 0.000 Bi
0.638 0.638 0.000 Bi
0.251 0.000 0.251 Au
0.749 0.000 0.749 Au
```

E_tot: -4.361 eV/atom
Total magnetic moment: 0.00 Bohr magnetons per cell
Calculated formation energy: -1.32 eV per formula unit
Symmetry: No. 71

# 12
Density functional theory data (PBE) for Dy5BiAu2 after structural relaxation.

```
Dy5BiAu2
1.0
-3.705 3.705 8.821
3.705 -3.705 8.821
3.705 3.705 -8.821
Dy Bi Au
10 2 4
direct
0.000 0.000 0.000 Dy
0.004 0.504 0.833 Dy
0.171 0.004 0.500 Dy
0.329 0.829 0.833 Dy
0.496 0.329 0.500 Dy
0.500 0.500 0.000 Dy
0.504 0.671 0.500 Dy
0.671 0.171 0.167 Dy
0.829 0.996 0.500 Dy
0.996 0.496 0.167 Dy
0.250 0.250 0.000 Bi
0.750 0.750 0.000 Bi
0.127 0.627 0.755 Au
0.373 0.127 0.500 Au
0.627 0.873 0.500 Au
0.873 0.373 0.245 Au
```

E_tot: -4.498 eV/atom
Total magnetic moment: 0.00 Bohr magnetons per cell
Calculated formation energy: -2.54 eV per formula unit
Symmetry: No. 140

# 13
Density functional theory data (PBE) for EuDyBiAu after structural relaxation.

```
EuDyBiAu
1.0
0.000 3.806 3.806
3.806 0.000 3.806
3.806 3.806 0.000
Eu Dy Bi Au
1 1 1 1
direct
0.000 0.000 0.000 Eu
0.500 0.500 0.500 Dy
0.250 0.250 0.250 Bi
0.750 0.750 0.750 Au
```

E_tot: -6.210 eV/atom
Total magnetic moment: 7.85 Bohr magnetons per cell
Calculated formation energy: -2.80 eV per formula unit
Symmetry: No. 216

# 14
Density functional theory data (PBE) for DyGaBiAu after structural relaxation.

```
DyGaBiAu
1.0
0.000 3.639 3.639
3.639 0.000 3.639
3.639 3.639 0.000
Dy Ga Bi Au
1 1 1 1
direct
0.000 0.000 0.000 Dy
0.750 0.750 0.750 Ga
0.500 0.500 0.500 Bi
0.250 0.250 0.250 Au
```

E_tot: -4.082 eV/atom
Total magnetic moment: 0.00 Bohr magnetons per cell
Calculated formation energy: -1.54 eV per formula unit
Symmetry: No. 216

# 15
Density functional theory data (PBE) for DyHgBiAu after structural relaxation.

```
DyHgBiAu
1.0
0.000 3.677 3.677
3.677 0.000 3.677
3.677 3.677 0.000
Dy Hg Bi Au
1 1 1 1
direct
0.000 0.000 0.000 Dy
0.750 0.750 0.750 Hg
0.500 0.500 0.500 Bi
0.250 0.250 0.250 Au
```

E_tot: -3.412 eV/atom
Total magnetic moment: 0.00 Bohr magnetons per cell
Calculated formation energy: -1.58 eV per formula unit
Symmetry: No. 216

# 16
Density functional theory data (PBE) for LiDyBiAu after structural relaxation.

```
LiDyBiAu
1.0
0.000 3.615 3.615
3.615 0.000 3.615
3.615 3.615 0.000
Li Dy Bi Au
1 1 1 1
direct
0.000 0.000 0.000 Li
0.500 0.500 0.500 Dy
0.250 0.250 0.250 Bi
0.750 0.750 0.750 Au
```

E_tot: -4.066 eV/atom
Total magnetic moment: 0.00 Bohr magnetons per cell
Calculated formation energy: -2.59 eV per formula unit
Symmetry: No. 216

# 17
Density functional theory data (PBE) for DyMgBiAu after structural relaxation.

```
DyMgBiAu
1.0
0.000 3.659 3.659
3.659 0.000 3.659
3.659 3.659 0.000
Dy Mg Bi Au
1 1 1 1
direct
0.000 0.000 0.000 Dy
0.500 0.500 0.500 Mg
0.750 0.750 0.750 Bi
0.250 0.250 0.250 Au
```

E_tot: -3.820 eV/atom
Total magnetic moment: 0.00 Bohr magnetons per cell
Calculated formation energy: -1.92 eV per formula unit
Symmetry: No. 216

# 18
Density functional theory data (PBE) for NaDyBiAu after structural relaxation.

```
NaDyBiAu
1.0
0.000 3.710 3.710
3.710 0.000 3.710
3.710 3.710 0.000
Na Dy Bi Au
1 1 1 1
direct
0.000 0.000 0.000 Na
0.500 0.500 0.500 Dy
0.750 0.750 0.750 Bi
0.250 0.250 0.250 Au
```

E_tot: -3.847 eV/atom
Total magnetic moment: 0.00 Bohr magnetons per cell
Calculated formation energy: -2.31 eV per formula unit
Symmetry: No. 216

# 19
Density functional theory data (PBE) for DyBiAu2O8 after structural relaxation.

```
DyBiAu2O8
1.0
-2.759 2.759 5.179
2.759 -2.759 5.179
2.759 2.759 -5.179
Dy Bi Au O
1 1 2 8
direct
0.000 0.000 0.000 Dy
0.750 0.250 0.500 Bi
0.250 0.750 0.500 Au
0.500 0.500 0.000 Au
0.062 0.031 0.682 O
0.126 0.333 0.543 O
0.349 0.380 0.318 O
0.416 0.874 0.206 O
0.620 0.938 0.969 O
0.667 0.210 0.794 O
0.790 0.584 0.457 O
0.969 0.651 0.031 O
```

Formation energy from raw total energies: -0.73 eV per atom
E_tot: -5.286 eV/atom
Total magnetic moment: 2.15 Bohr magnetons per cell
Symmetry: No. 82

# 20
Density functional theory data (PBE) for DyPaBiAu after structural relaxation.

```
DyPaBiAu
1.0
0.000 3.751 3.751
3.751 0.000 3.751
3.751 3.751 0.000
Dy Pa Bi Au
1 1 1 1
direct
0.000 0.000 0.000 Dy
0.500 0.500 0.500 Pa
0.250 0.250 0.250 Bi
0.750 0.750 0.750 Au
```

E_tot: -5.601 eV/atom
Total magnetic moment: 2.87 Bohr magnetons per cell
Calculated formation energy: -1.15 eV per formula unit
Symmetry: No. 216